(1)
VASP calculation (PBE) on crystalline Li2CrBi2 at its relaxed geometry.

POSCAR file:
```
Li2CrBi2
1.0
5.228 0.000 0.000
0.000 5.228 0.000
2.614 2.614 3.747
Bi Li Cr
2 2 1
Cartesian
2.614 5.228 1.873
5.228 2.614 1.873
2.614 2.614 1.157
5.228 5.228 2.589
0.000 0.000 0.000
```

Properties
Calculated formation energy   0.5265 eV per atom

(2)
VASP calculation (PBE) on crystalline LiCr2Bi2 at its relaxed geometry.

POSCAR file:
```
LiCr2Bi2
1.0
8.088 0.000 0.000
0.000 8.088 0.000
0.000 0.000 3.363
Bi Li Cr
4 2 4
Cartesian
6.553 2.509 1.681
2.509 1.534 1.681
5.578 6.553 1.681
1.534 5.578 1.681
4.044 4.044 0.000
0.000 0.000 0.000
4.715 0.671 0.000
7.416 4.715 0.000
0.671 3.373 0.000
3.373 7.416 0.000
```

Properties
Calculated formation energy   0.4519 eV per atom

(3)
VASP calculation (PBE) on crystalline LiCr3Bi at its relaxed geometry.

POSCAR file:
```
LiCr3Bi
1.0
-2.875 1.104 -3.090
0.682 -3.818 -1.998
-3.210 -1.800 2.343
Li Cr Bi
1 3 1
Cartesian
0.000 0.000 0.000
-1.437 0.552 -1.545
-1.605 -0.900 1.172
0.341 -1.909 -0.999
-2.701 -2.257 -1.373
```

Properties
Calculated formation energy   1.1782 eV per atom

(4)
VASP calculation (PBE) on crystalline Li2CrBiN at its relaxed geometry.

POSCAR file:
```
Li2CrBiN
1.0
4.375 0.000 0.000
0.000 4.375 0.000
0.000 0.000 3.789
Li Cr Bi N
2 1 1 1
Cartesian
2.188 0.000 0.000
0.000 2.188 0.000
0.000 0.000 1.895
2.188 2.188 1.895
0.000 0.000 0.000
```

Properties
Formation energy without anion corrections   -0.3391 eV/atom

no.,total DFT energy (no corrections) (eV per atom)
1,-3.72
2,-5.33
3,-5.75
4,-5.47